The following is a PBE-GGA calculation of an optimized crystal structure of TbPrEr2Se4, from Alexandria.

a = 4.039 Å, b = 7.264 Å, c = 7.065 Å
α = 71.41°, β = 90.00°, γ = 90.00°
Fractional positions:
Tb (0.000, 0.500, 0.500)
Pr (0.500, 0.500, 0.000)
Er (0.000, 0.000, 0.000)
Er (0.500, 0.000, 0.500)
Se (0.000, 0.766, 0.738)
Se (0.000, 0.234, 0.262)
Se (0.500, 0.761, 0.252)
Se (0.500, 0.239, 0.748)

Space-group type: No. 10
Raw formation energy, meV per atom: -1749